No. 1
Density functional theory data (GGA-PBE) for a geometry-optimized CsZn2Bi2 structure.

Output
DOS(E_F), states/eV/atom: 0.235
SG: I4/mmm (139)
ρ, g/cm³: 6.74
Relative energy among the computed polymorphs, kJ per mole of atoms: 0.0
ΔH_f (0 K), eV per atom: -0.17

a b c (Å): 4.326 4.326 9.478
angles (deg): 76.81 76.81 90.00
Positions (direct):
Cs (0.000, 0.000, 0.000)
Zn (0.750, 0.250, 0.500)
Bi (0.353, 0.353, 0.295)
Zn (0.250, 0.750, 0.500)
Bi (0.647, 0.647, 0.705)

---

No. 2
Density functional theory data (GGA-PBE) for a geometry-optimized TbPuTe2N structure.

Output
DOS(E_F), states/eV/atom: 1.287
SG: P4/nmm (129)
ρ, g/cm³: 8.42
Energy relative to the elements, uncorrected, eV/f.u.: -6.1

a b c (Å): 4.069 4.069 16.018
angles (deg): 90.00 90.00 90.00
Each line ends with the local moment (μB).
Positions (direct):
Te (0.000, 0.500, 0.679)  -0.14
N (0.000, 0.000, 0.500)  -0.29
Te (0.500, 0.000, 0.919)  0.00
Tb (0.000, 0.500, 0.860)  -0.01
Tb (0.500, 0.000, 0.140)  -0.01
Pu (0.000, 0.500, 0.435)  4.36
Te (0.500, 0.000, 0.321)  -0.14
Te (0.000, 0.500, 0.081)  0.00
N (0.500, 0.500, 0.500)  -0.29
Pu (0.500, 0.000, 0.565)  4.36

---

No. 3
Density functional theory data (GGA-PBE) for a geometry-optimized La6Nd8Cd structure.

Output
DOS(E_F), states/eV/atom: 1.288
SG: P-3 (147)
ρ, g/cm³: 6.50
ΔH_f (0 K), eV per atom: 0.06

a b c (Å): 6.599 9.686 9.686
angles (deg): 120.00 90.00 90.00
Positions (direct):
La (0.322, 0.092, 0.450)
Nd (0.813, 0.221, 0.957)
Nd (0.153, 0.667, 0.333)
Nd (0.187, 0.957, 0.735)
La (0.322, 0.550, 0.642)
La (0.322, 0.358, 0.908)
La (0.678, 0.642, 0.092)
La (0.678, 0.908, 0.550)
Nd (0.187, 0.265, 0.221)
Nd (0.187, 0.779, 0.043)
Nd (0.847, 0.333, 0.667)
Nd (0.813, 0.043, 0.265)
Nd (0.813, 0.735, 0.779)
Cd (0.500, 0.000, 0.000)
La (0.678, 0.450, 0.358)